Compound: Tm3NbP2Rh9
Source: Alexandria via LeMat-Bulk
Functional: PBE
Structure: relaxed

abc: 5.862 5.862 9.285
angles: 90.00 90.00 120.00
Atoms (fractional coordinates):
Tm: 0.667 0.333 0.389
Tm: 0.000 0.000 0.000
Tm: 0.333 0.667 0.611
Rh: 0.500 0.000 0.000
Rh: 0.500 0.500 0.000
Rh: 0.321 0.161 0.703
Rh: 0.839 0.679 0.703
Rh: 0.161 0.839 0.297
Rh: 0.000 0.500 0.000
Rh: 0.679 0.839 0.297
Rh: 0.161 0.321 0.297
Rh: 0.839 0.161 0.703
P: 0.333 0.667 0.155
P: 0.667 0.333 0.845
Nb: 0.000 0.000 0.500

Formation energy, eV/atom: -0.57
V, Å³/cell: 276
Density of states at the Fermi level, states/eV/cell: 6.33